No. 1
Compound: K2RbLi2Te2
Source: Alexandria via LeMat-Bulk
Functional: PBE
Structure: relaxed

Values from the calculation:
N(E_F): 0.211 states/eV/atom
Raw total energy: -19.28 eV for the cell shown
E_form (uncorrected): -0.859 eV per atom

Cell and atoms, written as CIF:
```
data_K2RbLi2Te2
_cell_length_a 4.772
_cell_length_b 4.772
_cell_length_c 14.486
_cell_angle_alpha 80.52
_cell_angle_beta 80.52
_cell_angle_gamma 60.00
_symmetry_space_group_name_H-M 'P 1'
_symmetry_Int_Tables_number 1
loop_
_symmetry_equiv_pos_as_xyz
'x,y,z'
loop_
_atom_site_label
_atom_site_type_symbol
_atom_site_fract_x
_atom_site_fract_y
_atom_site_fract_z
Li1 Li 0.395 0.395 0.814
Li2 Li 0.605 0.605 0.186
Te1 Te 0.728 0.728 0.815
Te2 Te 0.272 0.272 0.185
K1 K 0.120 0.120 0.641
K2 K 0.880 0.880 0.359
Rb1 Rb 0.000 0.000 0.000
```


No. 2
Compound: CaYCd3
Source: Alexandria via LeMat-Bulk
Functional: PBE
Structure: relaxed

Values from the calculation:
N(E_F): 0.930 states/eV/atom
Raw total energy: -25.59 eV for the cell shown
ΔE_f: -0.317 eV per atom
E above lowest polymorph: 0.000 eV/atom

Cell and atoms, written as CIF:
```
data_CaYCd3
_cell_length_a 3.630
_cell_length_b 4.967
_cell_length_c 14.903
_cell_angle_alpha 90.00
_cell_angle_beta 97.00
_cell_angle_gamma 90.00
_symmetry_space_group_name_H-M 'P 1'
_symmetry_Int_Tables_number 1
loop_
_symmetry_equiv_pos_as_xyz
'x,y,z'
loop_
_atom_site_label
_atom_site_type_symbol
_atom_site_fract_x
_atom_site_fract_y
_atom_site_fract_z
Ca1 Ca 0.925 0.750 0.850
Ca2 Ca 0.075 0.250 0.150
Cd1 Cd 0.475 0.250 0.950
Cd2 Cd 0.323 0.750 0.645
Cd3 Cd 0.622 0.750 0.245
Cd4 Cd 0.378 0.250 0.755
Cd5 Cd 0.677 0.250 0.355
Cd6 Cd 0.525 0.750 0.050
Y1 Y 0.786 0.250 0.572
Y2 Y 0.214 0.750 0.428
```


No. 3
Compound: Tm2ScRu2
Source: Alexandria via LeMat-Bulk
Functional: PBE
Structure: relaxed

Values from the calculation:
N(E_F): 0.678 states/eV/atom
Raw total energy: -35.96 eV for the cell shown
ΔE_f: -0.427 eV per atom

Cell and atoms, written as CIF:
```
data_Tm2ScRu2
_cell_length_a 3.289
_cell_length_b 3.312
_cell_length_c 9.934
_cell_angle_alpha 80.40
_cell_angle_beta 90.00
_cell_angle_gamma 90.00
_symmetry_space_group_name_H-M 'P 1'
_symmetry_Int_Tables_number 1
loop_
_symmetry_equiv_pos_as_xyz
'x,y,z'
loop_
_atom_site_label
_atom_site_type_symbol
_atom_site_fract_x
_atom_site_fract_y
_atom_site_fract_z
Tm1 Tm 0.000 0.836 0.328
Tm2 Tm 0.000 0.164 0.672
Ru1 Ru 0.500 0.583 0.833
Ru2 Ru 0.500 0.417 0.167
Sc1 Sc 0.000 0.000 0.000
```


Question: Look up the raw total energy of the first one.
Answer: -19.28 eV for the cell shown


Question: Among the records above, which one has the lowest raw total energy?
Answer: Tm2ScRu2


Question: Which value of N(E_F) does entry 1 give?
Answer: 0.211 states/eV/atom